# Sc3Si4Ni11

Sc3Si4Ni11 after structural relaxation (PBE-GGA, Alexandria).

Results
theoretical density	6.5	g/cm3
V	12.67	Å³ per atom
energy relative to the elements, uncorrected	-58.7	kJ/mol of atoms

a = 7.9477 Å, b = 7.9477 Å, c = 8.3397 Å
α = 90.00°, β = 90.00°, γ = 120.00°
Space group P6_3/mmc (No. 194)
Symmetry-distinct sites (fractional):
Sc (0.1975, 0.3950, 0.2500) x6
Si (0.0000, 0.0000, 0.2500) x2
Si (0.0000, 0.5000, 0.0000) x6
Ni (0.1221, 0.5610, 0.7500) x6
Ni (0.1526, 0.3053, 0.5929) x12
Ni (0.3333, 0.6667, 0.0030) x4